Version P
DyTiS2: optimized geometry, PBE-GGA.

Its crystal system is trigonal. Its symmetry is R3m.

Unit cell a=3.641 b=3.641 c=6.717 alpha=74.28 beta=74.28 gamma=60.00
Site moments in Bohr magnetons follow the coordinates.
Fractional coordinates of all 4 atoms:
Dy1 0.495 0.495 0.514  -0.01
Ti1 0.673 0.673 0.981  0.46
S1 0.259 0.259 0.224  0.00
S2 0.073 0.073 0.781  -0.01

***

Version Q
DyTiS2: optimized geometry, PBE-GGA.

Its crystal system is trigonal. Its symmetry is R-3m.

Unit cell a=3.734 b=3.734 c=6.371 alpha=72.96 beta=72.96 gamma=60.00
Fractional coordinates of all 4 atoms:
S1 0.741 0.741 0.776
S2 0.259 0.259 0.224
Dy1 0.500 0.500 0.500
Ti1 0.000 0.000 0.000

***

Taking the most stable structure as the zero point, the relative energies in meV/atom are version P 8; version Q 0.

***

Version P
Dy2TlS: optimized geometry, PBE-GGA.

Its crystal system is trigonal. Its symmetry is R-3m.

Unit cell a=3.824 b=3.824 c=8.249 alpha=76.60 beta=76.60 gamma=60.00
Fractional coordinates of all 4 atoms:
S1 0.000 0.000 0.000
Tl1 0.500 0.500 0.500
Dy1 0.734 0.734 0.798
Dy2 0.266 0.266 0.202

***

Version Q
Dy2TlS: optimized geometry, PBE-GGA.

Its crystal system is trigonal. Its symmetry is R3m.

Unit cell a=3.799 b=3.799 c=8.410 alpha=76.95 beta=76.95 gamma=60.00
Fractional coordinates of all 4 atoms:
Tl1 0.500 0.500 0.501
Dy1 0.065 0.065 0.804
Dy2 0.267 0.267 0.198
S1 0.667 0.667 0.998

***

Taking the most stable structure as the zero point, the relative energies in meV/atom are version P 0; version Q 37.

***

Version P
DyTmS2: optimized geometry, PBE-GGA.

Its crystal system is monoclinic. Its symmetry is C2/m.

Unit cell a=3.871 b=3.871 c=6.707 alpha=73.11 beta=73.11 gamma=60.19
Fractional coordinates of all 4 atoms:
S1 0.748 0.748 0.756
S2 0.252 0.252 0.244
Tm1 0.000 0.000 0.000
Dy1 0.500 0.500 0.500

***

Version Q
DyTmS2: optimized geometry, PBE-GGA.

Its crystal system is trigonal. Its symmetry is R3m.

Unit cell a=3.795 b=3.795 c=7.048 alpha=74.38 beta=74.38 gamma=60.00
Fractional coordinates of all 4 atoms:
S1 0.253 0.253 0.241
S2 0.080 0.080 0.760
Tm1 0.673 0.673 0.982
Dy1 0.494 0.494 0.517

***

Taking the most stable structure as the zero point, the relative energies in meV/atom are version P 0; version Q 21.

***

Version P
Dy2TmS4: optimized geometry, PBE-GGA.

Its crystal system is monoclinic. Its symmetry is C2/m.

Unit cell a=3.926 b=6.889 c=7.593 alpha=119.35 beta=104.98 gamma=90.00
Fractional coordinates of all 7 atoms:
Tm1 0.000 0.000 0.000
S1 0.637 0.271 0.274
S2 0.363 0.729 0.726
S3 0.122 0.811 0.244
S4 0.878 0.189 0.756
Dy1 0.726 0.733 0.452
Dy2 0.274 0.267 0.548

***

Version Q
Dy2TmS4: optimized geometry, PBE-GGA.

Its crystal system is orthorhombic. Its symmetry is Imma.

Unit cell a=7.792 b=7.740 c=7.740 alpha=60.71 beta=59.78 gamma=59.78
Fractional coordinates of all 14 atoms:
S1 0.253 0.743 0.750
S2 0.253 0.250 0.243
S3 0.246 0.748 0.248
S4 0.747 0.750 0.757
S5 0.758 0.748 0.248
S6 0.754 0.252 0.752
S7 0.747 0.257 0.250
S8 0.242 0.252 0.752
Dy1 0.500 0.000 0.500
Dy2 0.000 0.000 0.500
Dy3 0.000 0.000 0.000
Dy4 0.000 0.500 0.500
Tm1 0.500 0.500 0.000
Tm2 0.000 0.500 0.000

***

Taking the most stable structure as the zero point, the relative energies in meV/atom are version P 51; version Q 0.

***

Version P
DyTm3S6: optimized geometry, PBE-GGA.

Its crystal system is monoclinic. Its symmetry is P2_1/m.

Unit cell a=3.904 b=10.923 c=11.181 alpha=108.85 beta=90.00 gamma=90.00
Fractional coordinates of all 20 atoms:
Dy1 0.250 0.955 0.308
Dy2 0.750 0.045 0.692
Tm1 0.250 0.565 0.168
Tm2 0.250 0.318 0.498
Tm3 0.750 0.682 0.502
Tm4 0.750 0.161 0.085
Tm5 0.250 0.839 0.915
Tm6 0.750 0.435 0.832
S1 0.250 0.603 0.938
S2 0.750 0.397 0.062
S3 0.250 0.082 0.903
S4 0.250 0.257 0.725
S5 0.750 0.112 0.463
S6 0.750 0.743 0.275
S7 0.750 0.807 0.751
S8 0.250 0.888 0.537
S9 0.750 0.477 0.613
S10 0.250 0.523 0.387
S11 0.750 0.918 0.097
S12 0.250 0.193 0.249

***

Version Q
DyTm3S6: optimized geometry, PBE-GGA.

Its crystal system is trigonal. Its symmetry is R-3.

Unit cell a=7.955 b=7.955 c=7.955 alpha=91.00 beta=91.00 gamma=91.00
Fractional coordinates of all 20 atoms:
Tm1 0.753 0.433 0.923
Tm2 0.247 0.567 0.077
Tm3 0.567 0.077 0.247
Tm4 0.923 0.753 0.433
Tm5 0.433 0.923 0.753
Tm6 0.077 0.247 0.567
S1 0.465 0.597 0.822
S2 0.535 0.403 0.178
S3 0.597 0.822 0.465
S4 0.403 0.178 0.535
S5 0.093 0.917 0.682
S6 0.682 0.093 0.917
S7 0.318 0.907 0.083
S8 0.907 0.083 0.318
S9 0.178 0.535 0.403
S10 0.917 0.682 0.093
S11 0.083 0.318 0.907
S12 0.822 0.465 0.597
Dy1 0.500 0.500 0.500
Dy2 0.000 0.000 0.000

***

Taking the most stable structure as the zero point, the relative energies in meV/atom are version P 0; version Q 28.

***

Version P
DyUS3: optimized geometry, PBE-GGA.

Its crystal system is orthorhombic. Its symmetry is Pnma.

Unit cell a=3.889 b=7.301 c=14.983 alpha=90.00 beta=90.00 gamma=90.00
Site moments in Bohr magnetons follow the coordinates.
Fractional coordinates of all 20 atoms:
S1 0.250 0.647 0.722  -0.07
S2 0.250 0.508 0.108  -0.02
S3 0.750 0.492 0.892  -0.02
S4 0.250 0.147 0.778  -0.07
S5 0.750 0.125 0.069  -0.03
S6 0.750 0.992 0.608  -0.02
S7 0.250 0.008 0.392  -0.02
S8 0.750 0.853 0.222  -0.07
S9 0.250 0.875 0.931  -0.03
S10 0.250 0.375 0.569  -0.03
S11 0.750 0.625 0.431  -0.03
S12 0.750 0.353 0.278  -0.07
U1 0.750 0.367 0.709  2.44
U2 0.250 0.133 0.209  2.44
U3 0.250 0.633 0.291  2.44
U4 0.750 0.867 0.791  2.44
Dy1 0.750 0.240 0.457  0.07
Dy2 0.250 0.760 0.543  0.07
Dy3 0.250 0.260 0.957  0.07
Dy4 0.750 0.740 0.043  0.07

***

Version Q
DyUS3: optimized geometry, PBE-GGA.

Its crystal system is orthorhombic. Its symmetry is Imma.

Unit cell a=5.393 b=8.398 c=7.040 alpha=126.62 beta=112.52 gamma=90.00
Site moments in Bohr magnetons follow the coordinates.
Fractional coordinates of all 10 atoms:
U1 0.250 0.192 0.500  2.39
U2 0.750 0.808 0.500  2.39
Dy1 0.000 0.500 0.000  0.10
Dy2 0.500 0.000 0.000  0.10
S1 0.547 0.386 0.095  -0.06
S2 0.750 0.144 0.500  -0.06
S3 0.953 0.791 0.905  -0.06
S4 0.047 0.209 0.095  -0.06
S5 0.250 0.856 0.500  -0.06
S6 0.453 0.614 0.905  -0.06

***

Taking the most stable structure as the zero point, the relative energies in meV/atom are version P 0; version Q 276.

***

Version P
DyUS2: optimized geometry, PBE-GGA.

Its crystal system is hexagonal. Its symmetry is P6_3/mmc.

Unit cell a=3.796 b=3.796 c=13.441 alpha=90.00 beta=90.00 gamma=120.00
Site moments in Bohr magnetons follow the coordinates.
Fractional coordinates of all 8 atoms:
U1 0.000 0.000 0.000  2.46
U2 0.000 0.000 0.500  2.46
S1 0.667 0.333 0.875  -0.03
S2 0.333 0.667 0.375  -0.03
S3 0.333 0.667 0.125  -0.03
S4 0.667 0.333 0.625  -0.03
Dy1 0.333 0.667 0.750  -0.04
Dy2 0.667 0.333 0.250  -0.04

***

Version Q
DyUS2: optimized geometry, PBE-GGA.

Its crystal system is trigonal. Its symmetry is R-3m.

Unit cell a=3.836 b=3.836 c=8.791 alpha=77.40 beta=77.40 gamma=60.00
Site moments in Bohr magnetons follow the coordinates.
Fractional coordinates of all 4 atoms:
S1 0.894 0.894 0.317  -0.03
S2 0.106 0.106 0.683  -0.03
U1 0.000 0.000 0.000  2.85
Dy1 0.500 0.500 0.500  0.07

***

Taking the most stable structure as the zero point, the relative energies in meV/atom are version P 0; version Q 547.

***

Version P
Dy2U2S7: optimized geometry, PBE-GGA.

Its crystal system is orthorhombic. Its symmetry is Imm2.

Unit cell a=3.893 b=8.407 c=8.407 alpha=61.23 beta=76.61 gamma=76.61
Site moments in Bohr magnetons follow the coordinates.
Fractional coordinates of all 11 atoms:
Dy1 0.000 0.791 0.209  0.00
Dy2 0.500 0.327 0.673  0.04
S1 0.141 0.139 0.580  -0.05
S2 0.500 0.012 0.988  -0.03
S3 0.612 0.495 0.282  -0.04
S4 0.814 0.076 0.296  -0.07
S5 0.859 0.420 0.861  -0.05
S6 0.186 0.704 0.924  -0.07
S7 0.388 0.718 0.505  -0.04
U1 0.258 0.328 0.155  2.04
U2 0.742 0.845 0.672  2.04

***

Version Q
Dy2U2S7: optimized geometry, PBE-GGA.

Its crystal system is orthorhombic. Its symmetry is Imm2.

Unit cell a=3.882 b=8.455 c=8.455 alpha=60.35 beta=76.73 gamma=76.73
Site moments in Bohr magnetons follow the coordinates.
Fractional coordinates of all 11 atoms:
S1 0.608 0.502 0.283  -0.06
S2 0.500 0.011 0.989  -0.09
S3 0.183 0.705 0.928  -0.03
S4 0.868 0.410 0.854  -0.06
S5 0.132 0.146 0.590  -0.06
S6 0.817 0.072 0.295  -0.03
S7 0.392 0.717 0.498  -0.06
U1 0.000 0.785 0.215  1.97
U2 0.500 0.333 0.667  2.02
Dy1 0.258 0.328 0.155  0.01
Dy2 0.742 0.845 0.672  0.01

***

Taking the most stable structure as the zero point, the relative energies in meV/atom are version P 7; version Q 0.